NaPm3Pu2S6 | PBE | relaxed

Cell and atoms, written as CIF:
```
data_NaPm3Pu2S6
_chemical_formula_sum 'Na1 Pm3 Pu2 S6'
_cell_length_a 8.989
_cell_length_b 8.989
_cell_length_c 8.027
_cell_angle_alpha 102.90
_cell_angle_beta 102.90
_cell_angle_gamma 25.78
_symmetry_space_group_name_H-M 'P 1'
_symmetry_Int_Tables_number 1
_symmetry_space_group_name_Hall 'P 1'
loop_
_atom_site_label
_atom_site_type_symbol
_atom_site_fract_x
_atom_site_fract_y
_atom_site_fract_z
Na1 Na 0.000 0.000 0.000
Pm1 Pm 0.000 0.000 0.500
Pm2 Pm 0.335 0.335 0.168
Pm3 Pm 0.665 0.665 0.832
Pu1 Pu 0.333 0.333 0.666
Pu2 Pu 0.667 0.667 0.334
S1 S 0.167 0.167 0.087
S2 S 0.168 0.168 0.579
S3 S 0.498 0.498 0.748
S4 S 0.502 0.502 0.252
S5 S 0.832 0.832 0.421
S6 S 0.833 0.833 0.913
```

Calculated values
Formation energy (no corrections) in eV/atom: -1.864
Size of the total moment in μB per atom: 0.96
Symmetry: C2/m, No. 12
Fermi-level density of states in states/eV/atom: 1.587
Final energy in eV for the cell shown: -91.37
Volume in Å³ per cell: 274.6

Pm5Nd6Pb | PBE | relaxed

Cell and atoms, written as CIF:
```
data_Pm5Nd6Pb
_chemical_formula_sum 'Pm5 Nd6 Pb1'
_cell_length_a 9.666
_cell_length_b 9.666
_cell_length_c 9.666
_cell_angle_alpha 149.71
_cell_angle_beta 115.55
_cell_angle_gamma 72.85
_symmetry_space_group_name_H-M 'P 1'
_symmetry_Int_Tables_number 1
_symmetry_space_group_name_Hall 'P 1'
loop_
_atom_site_label
_atom_site_type_symbol
_atom_site_fract_x
_atom_site_fract_y
_atom_site_fract_z
Pm1 Pm 0.000 0.000 0.000
Pm2 Pm 0.163 0.663 0.500
Pm3 Pm 0.332 0.332 0.000
Pm4 Pm 0.668 0.668 0.000
Pm5 Pm 0.837 0.337 0.500
Nd1 Nd 0.091 0.836 0.255
Nd2 Nd 0.257 0.500 0.757
Nd3 Nd 0.420 0.164 0.255
Nd4 Nd 0.580 0.836 0.745
Nd5 Nd 0.743 0.500 0.243
Nd6 Nd 0.909 0.164 0.745
Pb1 Pb 0.500 0.000 0.500
```

Calculated values
Size of the total moment in μB per atom: 0.00
Symmetry: Immm, No. 71
Fermi-level density of states in states/eV/atom: 1.270
Final energy in eV for the cell shown: -56.95
Volume in Å³ per cell: 404.9